## Ba2Ca5Ga4 (PBE-GGA)

Data for crystalline Ba2Ca5Ga4 at its relaxed geometry.

E_tot (eV/atom): -2.616
Formation enthalpy at 0 K (meV/atom): -255.7

Cell: 7.136 7.830 9.301 Å, 60.35 67.44 62.89°
Fractional positions:
Ca 0.146 0.286 0.927
Ga 0.775 0.678 0.773
Ga 0.414 0.960 0.213
Ga 0.225 0.322 0.227
Ca 0.854 0.714 0.073
Ca 0.359 0.714 0.073
Ca 0.641 0.286 0.927
Ga 0.586 0.040 0.787
Ba 0.740 0.141 0.379
Ca 0.000 0.500 0.500
Ba 0.260 0.859 0.621